# 1
Material: PmPr4Dy3S8
Method: DFT, GGA-PBE
State: optimized geometry

Unit cell a=7.9865 b=8.1109 c=7.9866 alpha=119.49 beta=120.00 gamma=90.00
Atoms (fractional coordinates):
Pm 0.0000 0.5000 0.0000
Pr 0.5000 0.0000 0.0000
Pr 0.5000 0.0000 0.5000
Pr 0.0000 0.0000 0.0000
Pr 0.0000 0.0000 0.5000
Dy 0.5000 0.5000 0.0000
Dy 0.5000 0.5000 0.5000
Dy 0.0000 0.5000 0.5000
S 0.2477 0.7341 0.9864
S 0.2477 0.7341 0.4953
S 0.2566 0.2698 0.5132
S 0.7387 0.7341 0.9864
S 0.2613 0.2659 0.0136
S 0.7434 0.7302 0.4868
S 0.7523 0.2659 0.5047
S 0.7523 0.2659 0.0136

Symmetry: No. 166
E_form (uncorrected), eV/atom: -2.012


# 2
Material: PmPr2DyS4
Method: DFT, GGA-PBE
State: optimized geometry

Unit cell a=3.9883 b=6.9814 c=7.0721 alpha=108.85 beta=90.00 gamma=90.00
Atoms (fractional coordinates):
Pm 0.0000 0.0000 0.0000
Pr 0.5000 0.0000 0.5000
Pr 0.0000 0.5000 0.5000
Dy 0.5000 0.5000 0.0000
S 0.5000 0.2521 0.2389
S 0.5000 0.7479 0.7611
S 0.0000 0.2611 0.7653
S 0.0000 0.7389 0.2347

Symmetry: No. 10
E_form (uncorrected), eV/atom: -2.016


# 3
Material: Pm3Pr3DyS8
Method: DFT, GGA-PBE
State: optimized geometry

Unit cell a=8.0902 b=8.0904 c=8.1241 alpha=119.86 beta=90.00 gamma=120.00
Atoms (fractional coordinates):
Pm 0.5000 0.0000 0.5000
Pm 0.5000 0.5000 0.5000
Pm 0.0000 0.5000 0.5000
Pr 0.0000 0.0000 0.0000
Pr 0.0000 0.5000 0.0000
Pr 0.5000 0.5000 0.0000
Dy 0.0000 0.0000 0.5000
S 0.2521 0.5041 0.2562
S 0.7479 0.4959 0.7438
S 0.7574 0.5148 0.2613
S 0.2426 0.4852 0.7387
S 0.7574 0.0039 0.2613
S 0.2426 0.9961 0.7387
S 0.2465 0.0039 0.2613
S 0.7535 0.9961 0.7387

Symmetry: No. 166
E_form (uncorrected), eV/atom: -2.053


# 4
Material: Pm3Pr2DyS6
Method: DFT, GGA-PBE
State: optimized geometry

Unit cell a=7.0028 b=7.0028 c=6.9807 alpha=99.60 beta=99.60 gamma=120.14
Atoms (fractional coordinates):
Pm 0.1713 0.8287 0.5000
Pm 0.8287 0.1713 0.5000
Pm 0.5000 0.5000 0.5000
Pr 0.3330 0.6670 0.0000
Pr 0.6670 0.3330 0.0000
Dy 0.0000 0.0000 0.0000
S 0.9173 0.5946 0.7514
S 0.7617 0.7617 0.2525
S 0.0827 0.4054 0.2486
S 0.5946 0.9173 0.7514
S 0.2383 0.2383 0.7475
S 0.4054 0.0827 0.2486

Symmetry: No. 12
E_form (uncorrected), eV/atom: -2.023


# 5
Material: Pm2PrDy3S6
Method: DFT, GGA-PBE
State: optimized geometry

Unit cell a=6.8674 b=6.8674 c=6.9536 alpha=99.45 beta=99.45 gamma=120.17
Atoms (fractional coordinates):
Pm 0.3335 0.6665 0.0000
Pm 0.6665 0.3335 0.0000
Pr 0.0000 0.0000 0.0000
Dy 0.1653 0.8347 0.5000
Dy 0.8347 0.1653 0.5000
Dy 0.5000 0.5000 0.5000
S 0.9116 0.5749 0.7353
S 0.7513 0.7513 0.2637
S 0.0884 0.4251 0.2647
S 0.5749 0.9116 0.7353
S 0.2487 0.2487 0.7363
S 0.4251 0.0884 0.2647

Symmetry: No. 12
E_form (uncorrected), eV/atom: -2.018


# 6
Material: PmPrDy2S4
Method: DFT, GGA-PBE
State: optimized geometry

Unit cell a=3.9329 b=7.0228 c=6.8625 alpha=71.23 beta=90.00 gamma=90.00
Atoms (fractional coordinates):
Pm 0.0000 0.5000 0.5000
Pr 0.5000 0.5000 0.0000
Dy 0.0000 0.0000 0.0000
Dy 0.5000 0.0000 0.5000
S 0.0000 0.7671 0.7415
S 0.0000 0.2329 0.2585
S 0.5000 0.7651 0.2473
S 0.5000 0.2349 0.7527

Symmetry: No. 10
E_form (uncorrected), eV/atom: -2.013


# 7
Material: Pm3Pr2DySb6
Method: DFT, GGA-PBE
State: optimized geometry

Unit cell a=4.4992 b=8.9915 c=10.0533 alpha=102.94 beta=102.93 gamma=90.00
Atoms (fractional coordinates):
Pm 0.5000 0.5000 0.0000
Pm 0.8322 0.1659 0.6645
Pm 0.1678 0.8341 0.3355
Pr 0.8342 0.6676 0.6684
Pr 0.1658 0.3324 0.3316
Dy 0.5000 0.0000 0.0000
Sb 0.3355 0.9207 0.6710
Sb 0.6659 0.5856 0.3318
Sb 0.6645 0.0793 0.3290
Sb 0.9984 0.2443 0.9968
Sb 0.0016 0.7557 0.0032
Sb 0.3341 0.4144 0.6682

Symmetry: No. 12
E_form (uncorrected), eV/atom: -1.175


# 8
Material: PmPrDy2Sb4
Method: DFT, GGA-PBE
State: optimized geometry

Unit cell a=4.4590 b=7.7122 c=7.7190 alpha=70.51 beta=90.00 gamma=90.00
Atoms (fractional coordinates):
Pm 0.0000 0.5000 0.5000
Pr 0.5000 0.5000 0.0000
Dy 0.0000 0.0000 0.0000
Dy 0.5000 0.0000 0.5000
Sb 0.0000 0.7597 0.7450
Sb 0.0000 0.2403 0.2550
Sb 0.5000 0.7584 0.2489
Sb 0.5000 0.2416 0.7511

Symmetry: No. 10
E_form (uncorrected), eV/atom: -1.157